# ErTeAuO, relaxed, DFT PBE
# M_tot in μB per cell: 0.0
# Polymorph energy (0 for the lowest one) in kJ/mol of atoms: 3.8
data_ErTeAuO
_cell_length_a 10.080
_cell_length_b 5.643
_cell_length_c 5.643
_cell_angle_alpha 90.00
_cell_angle_beta 90.00
_cell_angle_gamma 90.00
_space_group_name_H-M_alt 'P b c m'
_space_group_IT_number 57
loop_
_space_group_symop_operation_xyz
'x,y,z'
'-x,-y,-z'
'-x,-y,z+1/2'
'x,y,-z+1/2'
'x,-y+1/2,-z'
'-x,y+1/2,z'
'-x,y+1/2,-z+1/2'
'x,-y+1/2,z+1/2'
loop_
_atom_site_label
_atom_site_type_symbol
_atom_site_fract_x
_atom_site_fract_y
_atom_site_fract_z
Er1 Er 0.105 0.000 0.250
Te1 Te 0.283 0.001 0.750
Au1 Au 0.499 0.750 0.000
O1 O 0.000 0.250 0.000

# TbTh3C2, relaxed, DFT PBE
# Energy in eV/cell: -45.03
# M_tot in μB per cell: 0.0
data_TbTh3C2
_cell_length_a 6.8420
_cell_length_b 6.8420
_cell_length_c 3.4992
_cell_angle_alpha 90.00
_cell_angle_beta 90.00
_cell_angle_gamma 120.00
_space_group_name_H-M_alt 'P 6/m m m'
_space_group_IT_number 191
_space_group_name_Hall '-P 6 2'
loop_
_atom_site_label
_atom_site_type_symbol
_atom_site_fract_x
_atom_site_fract_y
_atom_site_fract_z
Tb1 Tb 0.0000 0.0000 0.0000
Th1 Th 0.0000 0.5000 0.5000
C1 C 0.3333 0.6667 0.0000

# YTcAsO, relaxed, DFT PBE
# M_tot in μB per cell: 0.1
# Polymorph energy (0 for the lowest one) in kJ/mol of atoms: 45.1
data_YTcAsO
_cell_length_a 4.281
_cell_length_b 4.341
_cell_length_c 7.013
_cell_angle_alpha 90.00
_cell_angle_beta 90.00
_cell_angle_gamma 90.00
_space_group_name_H-M_alt 'P m c 21'
_space_group_IT_number 26
loop_
_space_group_symop_operation_xyz
'x,y,z'
'-x,-y,z+1/2'
'-x,y,z'
'x,-y,z+1/2'
loop_
_atom_site_label
_atom_site_type_symbol
_atom_site_fract_x
_atom_site_fract_y
_atom_site_fract_z
Y1 Y 0.000 0.226 0.000
Tc1 Tc 0.500 0.297 0.341
As1 As 0.500 0.206 0.681
O1 O 0.000 0.286 0.336

# NdRePO, relaxed, DFT PBE
# M_tot in μB per cell: 0.1
# Polymorph energy (0 for the lowest one) in kJ/mol of atoms: 176.7
data_NdRePO
_cell_length_a 4.280
_cell_length_b 4.280
_cell_length_c 6.978
_cell_angle_alpha 90.00
_cell_angle_beta 90.00
_cell_angle_gamma 90.00
_space_group_name_H-M_alt 'P 4/n m m'
_space_group_IT_number 129
loop_
_space_group_symop_operation_xyz
'x,y,z'
'-x,-y,-z'
'-y+1/2,x,z'
'y+1/2,-x,-z'
'-x+1/2,-y+1/2,z'
'x+1/2,y+1/2,-z'
'y,-x+1/2,z'
'-y,x+1/2,-z'
'x+1/2,-y,-z'
'-x+1/2,y,z'
'-y,-x,-z'
'y,x,z'
'-x,y+1/2,-z'
'x,-y+1/2,z'
'y+1/2,x+1/2,-z'
'-y+1/2,-x+1/2,z'
loop_
_atom_site_label
_atom_site_type_symbol
_atom_site_fract_x
_atom_site_fract_y
_atom_site_fract_z
Nd1 Nd 0.250 0.750 0.000
Re1 Re 0.250 0.250 0.387
P1 P 0.250 0.250 0.721
O1 O 0.250 0.750 0.500

# HoTaN2O, relaxed, DFT PBE
# Energy in eV/cell: -383.40
# M_tot in μB per cell: 0.0
data_HoTaN2O
_cell_length_a 7.861
_cell_length_b 7.876
_cell_length_c 7.903
_cell_angle_alpha 89.98
_cell_angle_beta 87.79
_cell_angle_gamma 89.89
_space_group_name_H-M_alt 'P -1'
_space_group_IT_number 2
loop_
_space_group_symop_operation_xyz
'x,y,z'
'-x,-y,-z'
loop_
_atom_site_label
_atom_site_type_symbol
_atom_site_fract_x
_atom_site_fract_y
_atom_site_fract_z
Ho1 Ho 0.019 0.252 0.039
Ho2 Ho 0.038 0.248 0.518
Ho3 Ho 0.454 0.750 0.981
Ho4 Ho 0.476 0.752 0.469
Ta1 Ta 0.238 0.494 0.755
Ta2 Ta 0.249 0.490 0.258
Ta3 Ta 0.254 0.014 0.755
Ta4 Ta 0.261 0.009 0.242
N1 N 0.000 0.443 0.300
N2 N 0.174 0.249 0.786
N3 N 0.197 0.938 0.003
N4 N 0.209 0.559 0.000
N5 N 0.292 0.049 0.502
N6 N 0.292 0.252 0.184
N7 N 0.307 0.448 0.500
N8 N 0.499 0.057 0.800
O1 O 0.002 0.930 0.702
O2 O 0.211 0.752 0.330
O3 O 0.331 0.746 0.716
O4 O 0.499 0.571 0.202

# Hf2BeAl, relaxed, DFT PBE
# Energy in eV/cell: -103.91
# M_tot in μB per cell: 0.0
data_Hf2BeAl
_cell_length_a 6.553
_cell_length_b 6.553
_cell_length_c 6.553
_cell_angle_alpha 90.00
_cell_angle_beta 90.00
_cell_angle_gamma 90.00
_space_group_name_H-M_alt 'F -4 3 m'
_space_group_IT_number 216
_space_group_name_Hall 'F -4 2 3'
loop_
_atom_site_label
_atom_site_type_symbol
_atom_site_fract_x
_atom_site_fract_y
_atom_site_fract_z
Hf1 Hf 0.000 0.000 0.000
Hf2 Hf 0.250 0.250 0.250
Be1 Be 0.250 0.250 0.750
Al1 Al 0.000 0.000 0.500

# Sm2YSi4Au4, relaxed, DFT PBE
# Energy in eV/cell: -117.56
# M_tot in μB per cell: 0.0
data_Sm2YSi4Au4
_cell_length_a 4.191
_cell_length_b 4.265
_cell_length_c 25.108
_cell_angle_alpha 90.00
_cell_angle_beta 90.00
_cell_angle_gamma 90.00
_space_group_name_H-M_alt 'I m m m'
_space_group_IT_number 71
_space_group_name_Hall '-I 2 2'
loop_
_atom_site_label
_atom_site_type_symbol
_atom_site_fract_x
_atom_site_fract_y
_atom_site_fract_z
Sm1 Sm 0.000 0.000 0.148
Y1 Y 0.000 0.500 0.000
Si1 Si 0.000 0.000 0.310
Si2 Si 0.000 0.500 0.453
Au1 Au 0.000 0.000 0.407
Au2 Au 0.000 0.500 0.251

# MgSc2Tc, relaxed, DFT PBE
# Energy in eV/cell: -47.03
# M_tot in μB per cell: 0.0
data_MgSc2Tc
_cell_length_a 4.9982
_cell_length_b 4.9982
_cell_length_c 7.4275
_cell_angle_alpha 90.00
_cell_angle_beta 90.00
_cell_angle_gamma 120.00
_space_group_name_H-M_alt 'P 63/m m c'
_space_group_IT_number 194
_space_group_name_Hall '-P 6c 2c'
loop_
_atom_site_label
_atom_site_type_symbol
_atom_site_fract_x
_atom_site_fract_y
_atom_site_fract_z
Mg1 Mg 0.0000 0.0000 0.0000
Sc1 Sc 0.3333 0.6667 0.0813
Tc1 Tc 0.3333 0.6667 0.7500

# NaZrAlPt, relaxed, DFT PBE
# M_tot in μB per cell: 0.0
# Polymorph energy (0 for the lowest one) in kJ/mol of atoms: 0.0
data_NaZrAlPt
_cell_length_a 6.529
_cell_length_b 6.529
_cell_length_c 6.529
_cell_angle_alpha 90.00
_cell_angle_beta 90.00
_cell_angle_gamma 90.00
_space_group_name_H-M_alt 'F -4 3 m'
_space_group_IT_number 216
_space_group_name_Hall 'F -4 2 3'
loop_
_atom_site_label
_atom_site_type_symbol
_atom_site_fract_x
_atom_site_fract_y
_atom_site_fract_z
Na1 Na 0.000 0.000 0.000
Zr1 Zr 0.250 0.250 0.750
Al1 Al 0.250 0.250 0.250
Pt1 Pt 0.000 0.000 0.500

# CsScNb, relaxed, DFT PBE
# M_tot in μB per cell: 12.1
# Polymorph energy (0 for the lowest one) in kJ/mol of atoms: 0.0
data_CsScNb
_cell_length_a 7.374
_cell_length_b 7.374
_cell_length_c 7.374
_cell_angle_alpha 90.00
_cell_angle_beta 90.00
_cell_angle_gamma 90.00
_space_group_name_H-M_alt 'F -4 3 m'
_space_group_IT_number 216
_space_group_name_Hall 'F -4 2 3'
loop_
_atom_site_label
_atom_site_type_symbol
_atom_site_fract_x
_atom_site_fract_y
_atom_site_fract_z
Cs1 Cs 0.000 0.000 0.000
Sc1 Sc 0.000 0.000 0.500
Nb1 Nb 0.250 0.250 0.750

# Nd3Cd2InAgPd2, relaxed, DFT PBE
# Energy in eV/cell: -74.98
# M_tot in μB per cell: 0.0
data_Nd3Cd2InAgPd2
_cell_length_a 4.036
_cell_length_b 13.578
_cell_length_c 7.839
_cell_angle_alpha 90.00
_cell_angle_beta 90.00
_cell_angle_gamma 90.00
_space_group_name_H-M_alt 'A m m 2'
_space_group_IT_number 38
loop_
_space_group_symop_operation_xyz
'x,y,z'
'-x,-y,z'
'-x,y,z'
'x,-y,z'
'x,y+1/2,z+1/2'
'-x,-y+1/2,z+1/2'
'-x,y+1/2,z+1/2'
'x,-y+1/2,z+1/2'
loop_
_atom_site_label
_atom_site_type_symbol
_atom_site_fract_x
_atom_site_fract_y
_atom_site_fract_z
Nd1 Nd 0.000 0.000 0.000
Nd2 Nd 0.000 0.207 0.619
Cd1 Cd 0.500 0.130 0.284
In1 In 0.500 0.000 0.669
Ag1 Ag 0.000 0.000 0.413
Pd1 Pd 0.500 0.165 0.910

# SrTmNO, relaxed, DFT PBE
# M_tot in μB per cell: 0.0
# Polymorph energy (0 for the lowest one) in kJ/mol of atoms: 17.2
data_SrTmNO
_cell_length_a 6.688
_cell_length_b 8.205
_cell_length_c 5.583
_cell_angle_alpha 90.00
_cell_angle_beta 90.00
_cell_angle_gamma 90.00
_space_group_name_H-M_alt 'P c a 21'
_space_group_IT_number 29
loop_
_space_group_symop_operation_xyz
'x,y,z'
'-x,-y,z+1/2'
'-x+1/2,y,z+1/2'
'x+1/2,-y,z'
loop_
_atom_site_label
_atom_site_type_symbol
_atom_site_fract_x
_atom_site_fract_y
_atom_site_fract_z
Sr1 Sr 0.079 0.127 0.000
Tm1 Tm 0.085 0.614 0.971
N1 N 0.047 0.161 0.534
O1 O 0.102 0.592 0.584